(1)
Tb2Pm2DyY4: relaxed, PBE.

Results
* density: 6.37 g cm⁻³
* calculated formation energy: -0.003 eV/atom
* DOS at the Fermi energy: 12.47 states/eV/cell

Unit cell a=3.615 b=9.554 c=9.607 alpha=115.22 beta=90.00 gamma=100.91
Element x y z (fractional)
Tb1 0.852 0.704 0.335
Tb2 0.148 0.296 0.665
Pm1 0.334 0.669 0.002
Pm2 0.666 0.331 0.998
Dy1 0.000 0.000 0.000
Y1 0.814 0.629 0.666
Y2 0.186 0.371 0.334
Y3 0.519 0.038 0.335
Y4 0.481 0.962 0.665

(2)
NaCa2CoN: relaxed, PBE.

Results
* density: 2.97 g cm⁻³
* DOS at the Fermi energy: 3.32 states/eV/cell
* ΔE_f (raw): -5.12 kcal/mol of atoms

Unit cell a=5.206 b=5.206 c=3.628 alpha=90.00 beta=90.00 gamma=90.00
Element x y z (fractional)
Na1 0.500 0.500 0.500
Ca1 0.000 0.500 0.000
Ca2 0.500 0.000 0.000
Co1 0.000 0.000 0.500
N1 0.000 0.000 0.000

(3)
ReAgN2F: relaxed, PBE.

Results
* density: 6.98 g cm⁻³
* DOS at the Fermi energy: 2.05 states/eV/cell
* energy above the lowest structure with this stoichiometry: 0 meV per atom
* ΔE_f (raw): 20.54 kcal/mol of atoms

Unit cell a=3.898 b=5.603 c=3.717 alpha=90.00 beta=90.00 gamma=90.00
Element x y z (fractional)
Re1 0.000 0.000 0.000
N1 0.000 0.000 0.500
N2 0.500 0.500 0.500
Ag1 0.000 0.500 0.000
F1 0.500 0.000 0.000